Density functional theory data (PBE-GGA) for a relaxed ErMoS crystal.

Results
The final energy is -44.94 eV for the cell shown. As for the density of states at the Fermi level: 3.19 states/eV per cell. The formation energy without anion corrections comes out at -0.98 eV per atom.

Unit cell a=3.621 b=3.621 c=8.751 alpha=90.00 beta=90.00 gamma=90.00
Space group P4/nmm (No. 129, origin choice 2)
Unique sites:
Er 0.250 0.250 0.203 [2 per cell]
Mo 0.250 0.250 0.569 [2 per cell]
S 0.250 0.250 0.861 [2 per cell]

Density functional theory data (PBE-GGA) for a relaxed ReNiAu2 crystal.

Results
The final energy is -22.67 eV for the cell shown. As for the energy above the most stable polymorph in this dataset: 359 meV per atom. The calculation puts the formation energy at 0.529 eV/atom. As for the density of states at the Fermi level: 3.96 states/eV per cell.

Unit cell a=4.820 b=4.820 c=2.738 alpha=90.00 beta=90.00 gamma=90.00
Space group P4/mmm (No. 123)
Unique sites:
Re 0.000 0.000 0.000 [1 per cell]
Ni 0.500 0.500 0.000 [1 per cell]
Au 0.000 0.500 0.500 [2 per cell]

Density functional theory data (PBE-GGA) for a relaxed SrCa3Cu crystal.

Results
The final energy is -11.90 eV for the cell shown. As for the energy above the most stable polymorph in this dataset: 7 meV per atom. The calculation puts the formation energy at -0.023 eV/atom. As for the density of states at the Fermi level: 2.59 states/eV per cell.

Unit cell a=5.775 b=5.775 c=5.775 alpha=90.00 beta=90.00 gamma=90.00
Space group Pm-3m (No. 221)
Unique sites:
Sr 0.000 0.000 0.000 [1 per cell]
Ca 0.000 0.500 0.500 [3 per cell]
Cu 0.500 0.500 0.500 [1 per cell]

Density functional theory data (PBE-GGA) for a relaxed CePrV crystal.

Results
The final energy is -37.75 eV for the cell shown. The calculation puts the formation energy at 0.318 eV/atom. As for the density of states at the Fermi level: 9.56 states/eV per cell.

Unit cell a=3.274 b=4.839 c=9.796 alpha=96.06 beta=94.07 gamma=95.12
Space group P-1 (No. 2)
Unique sites:
Ce 0.074 0.190 0.151 [2 per cell]
Pr 0.245 0.278 0.611 [2 per cell]
V 0.351 0.627 0.100 [2 per cell]

Density functional theory data (PBE-GGA) for a relaxed RbDySnCl6 crystal.

Results
The final energy is -37.10 eV for the cell shown. As for the density of states at the Fermi level: 0.00 states/eV per cell. The formation energy without anion corrections comes out at -1.83 eV per atom.

Unit cell a=7.2775 b=7.2775 c=7.1102 alpha=90.00 beta=90.00 gamma=120.00
Space group P312 (No. 149)
Unique sites:
Rb 0.0000 0.0000 0.0000 [1 per cell]
Dy 0.6667 0.3333 0.5000 [1 per cell]
Sn 0.3333 0.6667 0.5000 [1 per cell]
Cl 0.3814 0.0213 0.7144 [6 per cell]

Density functional theory data (PBE-GGA) for a relaxed SnPdN crystal.

Results
The final energy is -16.27 eV for the cell shown. As for the energy above the most stable polymorph in this dataset: 199 meV per atom. As for the density of states at the Fermi level: 1.60 states/eV per cell. The formation energy without anion corrections comes out at 0.42 eV per atom.

Unit cell a=3.416 b=3.618 c=4.142 alpha=83.98 beta=75.04 gamma=82.05
Space group P1 (No. 1)
Unique sites:
Sn 0.000 0.000 0.000 [1 per cell]
Pd 0.575 0.431 0.548 [1 per cell]
N 0.556 0.600 0.043 [1 per cell]

Density functional theory data (PBE-GGA) for a relaxed RuRhPb3 crystal.

Results
The final energy is -23.94 eV for the cell shown. As for the energy above the most stable polymorph in this dataset: 0 meV per atom. The calculation puts the formation energy at 0.762 eV/atom. As for the density of states at the Fermi level: 6.69 states/eV per cell.

Unit cell a=5.180 b=5.180 c=5.180 alpha=90.00 beta=90.00 gamma=90.00
Space group Pm-3m (No. 221)
Unique sites:
Ru 0.000 0.000 0.000 [1 per cell]
Rh 0.500 0.500 0.500 [1 per cell]
Pb 0.000 0.000 0.500 [3 per cell]

Density functional theory data (PBE-GGA) for a relaxed AlAu2C crystal.

Results
The final energy is -65.97 eV for the cell shown. As for the energy above the most stable polymorph in this dataset: 0 meV per atom. The calculation puts the formation energy at 0.757 eV/atom. As for the density of states at the Fermi level: 6.77 states/eV per cell.

Unit cell a=4.971 b=4.971 c=12.052 alpha=90.00 beta=90.00 gamma=90.00
Space group I-42d (No. 122)
Unique sites:
Al 0.000 0.000 0.000 [4 per cell]
Au 0.161 0.250 0.625 [8 per cell]
C 0.000 0.000 0.500 [4 per cell]